Record 1
CsHgTe2: optimized geometry, PBE-GGA.

Lattice parameters (Å, degrees): 8.9279 8.9279 8.5008 90.00 90.00 90.00
Space group I-42d (No. 122)
Asymmetric unit:
Cs (0.0000, 0.0000, 0.0000) [4 per cell]
Hg (0.0000, 0.0000, 0.5000) [4 per cell]
Te (0.1547, 0.2500, 0.6250) [8 per cell]

Computed properties:
**Size of the total moment**: 0.00 μB per atom
**Formation energy (no corrections)**: -0.423 eV per atom
**Energy**: -2.28 eV/atom
**Density**: 5.8 g/cm3

***

Record 2
MoC2IN: optimized geometry, PBE-GGA.

Lattice parameters (Å, degrees): 4.2027 4.2027 3.9053 90.00 90.00 90.00
Space group P4/mmm (No. 123)
Asymmetric unit:
Mo (0.0000, 0.0000, 0.0000) [1 per cell]
C (0.0000, 0.5000, 0.5000) [2 per cell]
I (0.5000, 0.5000, 0.0000) [1 per cell]
N (0.0000, 0.0000, 0.5000) [1 per cell]

Computed properties:
**Size of the total moment**: 0.00 μB per atom
**Formation energy (no corrections)**: 2.637 eV per atom
**E above lowest polymorph**: 0.00 eV/f.u.
**Energy**: -5.19 eV/atom
**Density**: 6.3 g/cm3

***

Record 3
RbHfAu2: optimized geometry, PBE-GGA.

Lattice parameters (Å, degrees): 8.0142 8.0142 7.8814 90.00 90.00 90.00
Space group I-42d (No. 122)
Asymmetric unit:
Rb (0.0000, 0.0000, 0.0000) [4 per cell]
Hf (0.0000, 0.0000, 0.5000) [4 per cell]
Au (0.1805, 0.2500, 0.6250) [8 per cell]

Computed properties:
**Size of the total moment**: 0.00 μB per atom
**E above lowest polymorph**: 2.02 eV/f.u.
**Energy**: -4.12 eV/atom
**Density**: 8.6 g/cm3
**Energy of formation from the pure elements**: 0.245 eV/atom